First-principles (GGA-PBE) data for a relaxed La5MgPb3 crystal, as listed in the Alexandria database.

Cell and atoms, written as POSCAR:
```
La5MgPb3
1.0
9.924 0.000 0.000
-4.962 8.594 0.000
0.000 0.000 6.877
La Mg Pb
10 2 6
Direct
0.000 0.297 0.250 La
0.000 0.703 0.750 La
0.297 0.000 0.250 La
0.297 0.297 0.750 La
0.333 0.667 0.000 La
0.333 0.667 0.500 La
0.667 0.333 0.000 La
0.667 0.333 0.500 La
0.703 0.000 0.750 La
0.703 0.703 0.250 La
0.000 0.000 0.000 Mg
0.000 0.000 0.500 Mg
0.000 0.362 0.750 Pb
0.000 0.638 0.250 Pb
0.362 0.000 0.750 Pb
0.362 0.362 0.250 Pb
0.638 0.000 0.250 Pb
0.638 0.638 0.750 Pb
```

DFT total energy in eV/cell: -83.77
Magnetic moment in μB/f.u.: 1.8
Space-group type: No. 193
DOS at the Fermi energy in states/eV/cell: 19.1